Ba4ScCr | PBE-GGA | optimized geometry

Properties
For the density of states at the Fermi level, the calculation gives 9.17 states/eV/f.u. As for the total magnetization: 2.2 μB per cell. Its theoretical density is 3.89 g/cm3. As for the energy: -18.30 eV per cell.

a b c (Å): 7.3093 7.3093 7.3093
angles (deg): 60.00 60.00 60.00
Last column: nearest neighbours and their distance in Å.
Element x y z (fractional)
Ba 0.1253 0.1253 0.1253  6 Ba 3.65-3.66
Ba 0.1253 0.1253 0.6241  6 Ba 3.65-3.66
Ba 0.1253 0.6241 0.1253  6 Ba 3.65-3.66
Ba 0.6241 0.1253 0.1253  6 Ba 3.65-3.66
Sc 0.5000 0.5000 0.5000  12 Ba 4.28, 4 Cr 4.48
Cr 0.7500 0.7500 0.7500  12 Ba 4.29, 4 Sc 4.48

HfZr2Ga | PBE-GGA | optimized geometry

Properties
For the density of states at the Fermi level, the calculation gives 6.75 states/eV/f.u. As for the total magnetization: 0.0 μB per cell. Its theoretical density is 8.68 g/cm3. As for the energy: -121.99 eV per cell.

a b c (Å): 6.9070 6.9070 6.9070
angles (deg): 90.00 90.00 90.00
Last column: nearest neighbours and their distance in Å.
Element x y z (fractional)
Hf 0.0000 0.0000 0.0000  8 Zr 2.99
Hf 0.0000 0.5000 0.5000  8 Zr 2.99
Hf 0.5000 0.0000 0.5000  8 Zr 2.99
Hf 0.5000 0.5000 0.0000  8 Zr 2.99
Zr 0.2500 0.2500 0.2500  4 Hf 2.99, 4 Ga 2.99
Zr 0.2500 0.2500 0.7500  4 Hf 2.99, 4 Ga 2.99
Zr 0.2500 0.7500 0.2500  4 Hf 2.99, 4 Ga 2.99
Zr 0.2500 0.7500 0.7500  4 Hf 2.99, 4 Ga 2.99
Zr 0.7500 0.2500 0.2500  4 Hf 2.99, 4 Ga 2.99
Zr 0.7500 0.2500 0.7500  4 Hf 2.99, 4 Ga 2.99
Zr 0.7500 0.7500 0.2500  4 Hf 2.99, 4 Ga 2.99
Zr 0.7500 0.7500 0.7500  4 Ga 2.99, 4 Hf 2.99
Ga 0.0000 0.0000 0.5000  8 Zr 2.99
Ga 0.0000 0.5000 0.0000  8 Zr 2.99
Ga 0.5000 0.0000 0.0000  8 Zr 2.99
Ga 0.5000 0.5000 0.5000  8 Zr 2.99

TlVB3 | PBE-GGA | optimized geometry

Properties
For the density of states at the Fermi level, the calculation gives 6.85 states/eV/f.u. As for the total magnetization: 3.3 μB per cell. Its theoretical density is 5.42 g/cm3. As for the energy: -17.89 eV per cell.

a b c (Å): 4.4503 4.4503 4.4503
angles (deg): 90.00 90.00 90.00
Last column: nearest neighbours and their distance in Å.
Element x y z (fractional)
Tl 0.0000 0.0000 0.0000  6 B 2.23
V 0.5000 0.5000 0.5000  12 B 3.15
B 0.0000 0.0000 0.5000  2 Tl 2.23
B 0.0000 0.5000 0.0000  2 Tl 2.23
B 0.5000 0.0000 0.0000  2 Tl 2.23

Cs2TlPtBr6 | PBE-GGA | optimized geometry

Properties
For the density of states at the Fermi level, the calculation gives 4.62 states/eV/f.u. Its formation energy from raw total energies is -0.99 eV per atom. As for the total magnetization: 0.3 μB per cell. Its theoretical density is 5.21 g/cm3.

a b c (Å): 8.0091 11.3712 8.0103
angles (deg): 90.00 90.00 90.00
Last column: nearest neighbours and their distance in Å.
Element x y z (fractional)
Cs 0.2500 0.0000 0.2502  12 Br 4.01-4.02
Cs 0.2500 0.5000 0.2502  12 Br 4.01-4.02
Cs 0.7500 0.0000 0.7498  12 Br 4.01-4.02
Cs 0.7500 0.5000 0.7498  12 Br 4.01-4.02
Tl 0.2500 0.2500 0.7492  6 Br 3.07-3.11
Tl 0.7500 0.7500 0.2508  6 Br 3.07-3.11
Pt 0.2500 0.7500 0.7508  6 Br 2.58-2.59
Pt 0.7500 0.2500 0.2492  6 Br 2.58-2.59
Br 0.0211 0.7500 0.5220  1 Pt 2.59
Br 0.0211 0.7500 0.9797  1 Pt 2.59
Br 0.2500 0.5235 0.7509  1 Pt 2.58
Br 0.2500 0.9765 0.7509  1 Pt 2.58
Br 0.4789 0.7500 0.5220  1 Pt 2.59
Br 0.4789 0.7500 0.9797  1 Pt 2.59
Br 0.5211 0.2500 0.0203  1 Pt 2.59
Br 0.5211 0.2500 0.4780  1 Pt 2.59
Br 0.7500 0.0235 0.2491  1 Pt 2.58
Br 0.7500 0.4765 0.2491  1 Pt 2.58
Br 0.9789 0.2500 0.0203  1 Pt 2.59
Br 0.9789 0.2500 0.4780  1 Pt 2.59

Na3LiLa | PBE-GGA | optimized geometry

Properties
For the density of states at the Fermi level, the calculation gives 5.69 states/eV/f.u. As for the total magnetization: 0.4 μB per cell. Its theoretical density is 2.25 g/cm3. As for the energy: -8.98 eV per cell.

a b c (Å): 5.4138 5.4138 5.4138
angles (deg): 90.00 90.00 90.00
Last column: nearest neighbours and their distance in Å.
Element x y z (fractional)
Na 0.0000 0.0000 0.5000  2 Li 2.71
Na 0.0000 0.5000 0.0000  2 Li 2.71
Na 0.5000 0.0000 0.0000  2 Li 2.71
Li 0.0000 0.0000 0.0000  6 Na 2.71
La 0.5000 0.5000 0.5000  12 Na 3.83

CeSi3Tc5 | PBE-GGA | optimized geometry

Properties
For the density of states at the Fermi level, the calculation gives 7.51 states/eV/f.u. Its formation energy from raw total energies is -0.36 eV per atom. As for the total magnetization: 0.6 μB per cell. Its theoretical density is 7.96 g/cm3.

a b c (Å): 6.4547 6.4547 11.4370
angles (deg): 90.00 90.00 141.30
Last column: nearest neighbours and their distance in Å.
Element x y z (fractional)
Ce 0.1445 0.8555 0.7500  6 Si 3.01-3.29, 2 Tc 3.36
Ce 0.8555 0.1445 0.2500  6 Si 3.01-3.29, 2 Tc 3.36
Si 0.1503 0.8497 0.2500  6 Tc 2.53-2.54
Si 0.4066 0.5934 0.0726  5 Tc 2.44-2.56
Si 0.4066 0.5934 0.4274  5 Tc 2.44-2.56
Si 0.5934 0.4066 0.5726  5 Tc 2.44-2.56
Si 0.5934 0.4066 0.9274  5 Tc 2.44-2.56
Si 0.8497 0.1503 0.7500  6 Tc 2.53-2.54
Tc 0.0000 0.0000 0.0000  4 Si 2.56, 2 Tc 2.57
Tc 0.0000 0.0000 0.5000  4 Si 2.56, 2 Tc 2.57
Tc 0.2077 0.7923 0.0374  2 Si 2.46-2.53, 3 Tc 2.52-2.57
Tc 0.2077 0.7923 0.4626  2 Si 2.46-2.53, 3 Tc 2.52-2.57
Tc 0.4057 0.5943 0.6460  1 Tc 2.38, 4 Si 2.44-2.54
Tc 0.4057 0.5943 0.8540  1 Tc 2.38, 4 Si 2.44-2.54
Tc 0.5943 0.4057 0.1460  1 Tc 2.38, 4 Si 2.44-2.54
Tc 0.5943 0.4057 0.3540  1 Tc 2.38, 4 Si 2.44-2.54
Tc 0.7923 0.2077 0.5374  2 Si 2.46-2.53, 3 Tc 2.52-2.57
Tc 0.7923 0.2077 0.9626  2 Si 2.46-2.53, 3 Tc 2.52-2.57

HfZnCoOs2 | PBE-GGA | optimized geometry

Properties
For the density of states at the Fermi level, the calculation gives 11.53 states/eV/f.u. As for the total magnetization: 0.7 μB per cell. Its theoretical density is 10.27 g/cm3. As for the energy: -29.10 eV per cell.

a b c (Å): 4.7598 4.7598 4.8752
angles (deg): 90.00 90.00 90.00
Last column: nearest neighbours and their distance in Å.
Element x y z (fractional)
Hf 0.0000 0.0000 0.0000  4 Os 2.38, 2 Zn 2.44
Zn 0.0000 0.0000 0.5000  2 Hf 2.44
Co 0.5000 0.5000 0.5000  4 Zn 3.37, 8 Os 3.41
Os 0.0000 0.5000 0.0000  2 Hf 2.38
Os 0.5000 0.0000 0.0000  2 Hf 2.38

Hf6NiPd | PBE-GGA | optimized geometry

Properties
For the density of states at the Fermi level, the calculation gives 9.69 states/eV/f.u. As for the total magnetization: 0.0 μB per cell. Its theoretical density is 12.16 g/cm3. As for the energy: -139.54 eV per cell.

a b c (Å): 5.9949 10.7404 5.9423
angles (deg): 90.00 118.08 90.00
Last column: nearest neighbours and their distance in Å.
Element x y z (fractional)
Hf 0.2346 0.2047 0.2432  1 Ni 2.64, 1 Pd 2.72, 1 Hf 2.93
Hf 0.2346 0.7953 0.2432  1 Ni 2.64, 1 Pd 2.72, 1 Hf 2.93
Hf 0.2369 0.0000 0.7636  1 Ni 2.42, 1 Pd 2.70
Hf 0.2631 0.5000 0.2364  1 Ni 2.42, 1 Pd 2.70
Hf 0.2654 0.2953 0.7568  1 Ni 2.64, 1 Pd 2.72, 1 Hf 2.93
Hf 0.2654 0.7047 0.7568  1 Ni 2.64, 1 Pd 2.72, 1 Hf 2.93
Hf 0.7346 0.2953 0.2432  1 Ni 2.64, 1 Pd 2.72, 1 Hf 2.93
Hf 0.7346 0.7047 0.2432  1 Ni 2.64, 1 Pd 2.72, 1 Hf 2.93
Hf 0.7369 0.5000 0.7636  1 Ni 2.42, 1 Pd 2.70
Hf 0.7631 0.0000 0.2364  1 Ni 2.42, 1 Pd 2.70
Hf 0.7654 0.2047 0.7568  1 Ni 2.64, 1 Pd 2.72, 1 Hf 2.93
Hf 0.7654 0.7953 0.7568  1 Ni 2.64, 1 Pd 2.72, 1 Hf 2.93
Ni 0.0000 0.0000 0.0000  6 Hf 2.42-2.64
Ni 0.5000 0.5000 0.0000  6 Hf 2.42-2.64
Pd 0.0000 0.5000 0.5000  6 Hf 2.70-2.72
Pd 0.5000 0.0000 0.5000  6 Hf 2.70-2.72

Zr2MnIr | PBE-GGA | optimized geometry

Properties
For the density of states at the Fermi level, the calculation gives 3.95 states/eV/f.u. As for the total magnetization: 2.6 μB per cell. Its theoretical density is 9.73 g/cm3. As for the energy: -36.61 eV per cell.

a b c (Å): 3.1926 4.4531 5.3066
angles (deg): 90.00 103.61 90.00
Last column: nearest neighbours and their distance in Å.
Element x y z (fractional)
Zr 0.0000 0.0000 0.0000  4 Ir 2.80-2.84, 3 Mn 2.80-2.87
Zr 0.2443 0.5000 0.5807  4 Mn 2.79-2.83, 3 Ir 2.82-2.85
Mn 0.6854 0.0000 0.4600  7 Zr 2.79-2.87, 2 Ir 2.81
Ir 0.5600 0.5000 0.1266  7 Zr 2.80-2.85, 2 Mn 2.81

Dy4ErGa4 | PBE-GGA | optimized geometry

Properties
For the density of states at the Fermi level, the calculation gives 6.70 states/eV/f.u. As for the total magnetization: 0.0 μB per cell. Its theoretical density is 7.74 g/cm3. As for the energy: -38.63 eV per cell.

a b c (Å): 7.4464 7.4464 7.4464
angles (deg): 95.75 95.75 143.11
Last column: nearest neighbours and their distance in Å.
Element x y z (fractional)
Dy 0.1296 0.6440 0.7736  4 Ga 2.93-3.04
Dy 0.3560 0.1296 0.4857  4 Ga 2.93-3.04
Dy 0.6440 0.8704 0.5143  4 Ga 2.93-3.04
Dy 0.8704 0.3560 0.2264  4 Ga 2.93-3.04
Er 0.0000 0.0000 0.0000  8 Ga 3.01
Ga 0.3275 0.4278 0.7553  2 Ga 2.64, 1 Dy 2.93
Ga 0.4278 0.6725 0.1002  2 Ga 2.64, 1 Dy 2.93
Ga 0.5722 0.3275 0.8998  2 Ga 2.64, 1 Dy 2.93
Ga 0.6725 0.5722 0.2447  2 Ga 2.64, 1 Dy 2.93

La2PS5 | PBE-GGA | optimized geometry

Properties
For the density of states at the Fermi level, the calculation gives 2.52 states/eV/f.u. Its formation energy from raw total energies is -1.23 eV per atom. As for the total magnetization: 0.0 μB per cell. Its theoretical density is 4.32 g/cm3.

a b c (Å): 6.6519 6.6519 8.1569
angles (deg): 90.00 90.00 90.00
Last column: nearest neighbours and their distance in Å.
Element x y z (fractional)
La 0.0000 0.5000 0.0000  10 S 3.09-3.34
La 0.0000 0.5000 0.5000  10 S 3.09-3.34
La 0.5000 0.0000 0.0000  10 S 3.09-3.34
La 0.5000 0.0000 0.5000  10 S 3.09-3.34
P 0.0000 0.0000 0.2172  5 S 2.04-2.25
P 0.5000 0.5000 0.7172  5 S 2.04-2.25
S 0.0000 0.0000 0.9668  1 P 2.04
S 0.2372 0.2372 0.2540  1 P 2.25
S 0.2372 0.7628 0.2540  1 P 2.25
S 0.2628 0.2628 0.7540  1 P 2.25
S 0.2628 0.7372 0.7540  1 P 2.25
S 0.5000 0.5000 0.4668  1 P 2.04
S 0.7372 0.2628 0.7540  1 P 2.25
S 0.7372 0.7372 0.7540  1 P 2.25
S 0.7628 0.2372 0.2540  1 P 2.25
S 0.7628 0.7628 0.2540  1 P 2.25

La2Zn3Pd12Pt | PBE-GGA | optimized geometry

Properties
For the density of states at the Fermi level, the calculation gives 10.03 states/eV/f.u. As for the total magnetization: 0.0 μB per cell. Its theoretical density is 8.82 g/cm3. As for the energy: -84.73 eV per cell.

a b c (Å): 7.9608 7.9608 7.9608
angles (deg): 61.23 61.23 61.23
Last column: nearest neighbours and their distance in Å.
Element x y z (fractional)
La 0.1188 0.1188 0.1188  6 Pd 2.74
La 0.8812 0.8812 0.8812  6 Pd 2.74
Zn 0.0000 0.5000 0.5000  6 Pd 2.50
Zn 0.5000 0.0000 0.5000  6 Pd 2.50
Zn 0.5000 0.5000 0.0000  6 Pd 2.50
Pd 0.1069 0.6401 0.6401  1 Zn 2.50, 1 Pt 2.60, 1 La 2.74
Pd 0.1215 0.1215 0.6264  2 Zn 2.50, 1 La 2.74
Pd 0.1215 0.6264 0.1215  2 Zn 2.50, 1 La 2.74
Pd 0.3599 0.3599 0.8931  1 Zn 2.50, 1 Pt 2.60, 1 La 2.74
Pd 0.3599 0.8931 0.3599  1 Zn 2.50, 1 Pt 2.60, 1 La 2.74
Pd 0.3736 0.8785 0.8785  2 Zn 2.50, 1 La 2.74
Pd 0.6264 0.1215 0.1215  2 Zn 2.50, 1 La 2.74
Pd 0.6401 0.1069 0.6401  1 Zn 2.50, 1 Pt 2.60, 1 La 2.74
Pd 0.6401 0.6401 0.1069  1 Zn 2.50, 1 Pt 2.60, 1 La 2.74
Pd 0.8785 0.3736 0.8785  2 Zn 2.50, 1 La 2.74
Pd 0.8785 0.8785 0.3736  2 Zn 2.50, 1 La 2.74
Pd 0.8931 0.3599 0.3599  1 Zn 2.50, 1 Pt 2.60, 1 La 2.74
Pt 0.5000 0.5000 0.5000  6 Pd 2.60